Material: Al2SnHg2
Method: DFT, GGA-PBEsol
State: relaxed

```
5
Lattice="-2.4933 -1.1438 -3.1815 -2.7517 -1.6101 2.7353 -0.2548 6.8081 0.5254" Properties=species:S:1:pos:R:3 pbc="T T T"
Al -2.8145 1.9106 1.5189
Al -2.6853 2.1437 -1.4396
Hg -2.2302 4.2098 0.2344
Hg -3.2696 -0.1555 -0.1551
Sn 0.0000 0.0000 0.0000
```

Computed properties:
VASP energy in eV/f.u.: -13.036
DOS(E_F) in states/eV per cell: 1.8
Symmetry: No. 139

=====

Material: Al3SnHg
Method: DFT, GGA-PBEsol
State: relaxed

```
5
Lattice="4.9861 0.0000 0.0000 0.0000 4.9861 0.0000 0.0000 0.0000 4.9861" Properties=species:S:1:pos:R:3 pbc="T T T"
Al 0.0000 2.4931 0.0000
Al 0.0000 0.0000 2.4931
Al 2.4931 0.0000 0.0000
Hg 0.0000 0.0000 0.0000
Sn 2.4931 2.4931 2.4931
```

Computed properties:
VASP energy in eV/f.u.: -14.168
DOS(E_F) in states/eV per cell: 2.9
Symmetry: No. 221

=====

Material: SrAlHg
Method: DFT, GGA-PBEsol
State: relaxed

```
3
Lattice="-3.5087 1.7827 -2.9859 -2.0235 -2.9066 -3.4441 -4.6722 -1.5277 0.4914" Properties=species:S:1:pos:R:3 pbc="T T T"
Sr -5.1022 -1.3258 -2.9693
Hg 0.0000 0.0000 0.0000
Al -2.5511 -0.6629 -1.4846
```

Computed properties:
VASP energy in eV/f.u.: -6.685
DOS(E_F) in states/eV per cell: 4.5
Excess energy over the best structure of this formula in the dataset in meV per atom: 344.1
Symmetry: No. 216

=====

Material: Sr2AlHg
Method: DFT, GGA-PBEsol
State: relaxed

```
4
Lattice="-4.9451 2.4455 -0.4362 -4.0732 -2.4765 -2.8109 -4.3613 -2.0757 2.7011" Properties=species:S:1:pos:R:3 pbc="T T T"
Sr -3.3449 -0.5267 -0.1365
Sr -10.0347 -1.5800 -0.4095
Hg -6.6898 -1.0534 -0.2730
Al 0.0000 0.0000 0.0000
```

Computed properties:
VASP energy in eV/f.u.: -9.641
DOS(E_F) in states/eV per cell: 3.0
Excess energy over the best structure of this formula in the dataset in meV per atom: 4.4
Symmetry: No. 225

=====

Material: Sr2AlHg
Method: DFT, GGA-PBEsol
State: relaxed

```
4
Lattice="4.6371 0.0000 0.0000 2.3185 4.0158 0.0000 2.3185 1.3386 7.7235" Properties=species:S:1:pos:R:3 pbc="T T T"
Sr 6.9556 4.0158 0.8269
Sr 6.9556 4.0158 4.9660
Hg 2.3185 1.3386 2.9179
Al 4.6371 2.6772 2.8745
```

Computed properties:
VASP energy in eV/f.u.: -9.517
DOS(E_F) in states/eV per cell: 3.6
Excess energy over the best structure of this formula in the dataset in meV per atom: 35.5
Symmetry: No. 160

=====

Material: Sr2AlHg
Method: DFT, GGA-PBEsol
State: relaxed

```
4
Lattice="3.8410 0.0000 0.0000 0.0000 5.5784 0.0000 0.0000 0.0000 5.5784" Properties=species:S:1:pos:R:3 pbc="T T T"
Sr 0.0000 0.0000 2.7892
Sr 0.0000 2.7892 0.0000
Hg 1.9205 0.0000 0.0000
Al 1.9205 2.7892 2.7892
```

Computed properties:
VASP energy in eV/f.u.: -9.659
DOS(E_F) in states/eV per cell: 2.4
Excess energy over the best structure of this formula in the dataset in meV per atom: 0.0
Symmetry: No. 123

=====

no.,energy of formation (meV/atom)
1,108.0
2,586.5
3,-61.9
4,-325.5
5,-294.4
6,-329.9